No. 1
BaZrU2S8 (PBE-GGA, optimized geometry); D(E_F) = 9.4 states/eV/cell
1.0
6.090 0.000 0.000
0.000 8.346 0.000
-0.193 0.000 6.432
Ba Zr U S
1 1 2 8
direct
0.000 0.000 0.000
0.000 0.500 0.000
0.500 0.255 0.500
0.500 0.745 0.500
0.250 0.292 0.170
0.250 0.708 0.170
0.273 0.500 0.666
0.276 0.000 0.610
0.724 0.000 0.390
0.727 0.500 0.334
0.750 0.292 0.830
0.750 0.708 0.830



No. 2
Ba2VS4 (PBE-GGA, optimized geometry); D(E_F) = 10.3 states/eV/cell
1.0
6.899 0.000 0.000
0.000 6.739 0.000
-2.894 0.000 8.512
Ba V S
4 2 8
direct
0.208 0.250 0.424
0.285 0.250 0.958
0.715 0.750 0.042
0.792 0.750 0.576
0.288 0.750 0.210
0.712 0.250 0.790
0.084 0.750 0.358
0.135 0.750 0.951
0.499 0.502 0.728
0.499 0.998 0.728
0.501 0.002 0.272
0.501 0.498 0.272
0.865 0.250 0.049
0.916 0.250 0.642



Number 1: formation energy without anion corrections -1.3308 eV/atom. Number 2: formation energy without anion corrections -1.5875 eV/atom.